Sn2Au2Se: optimized geometry, PBE.

Computed properties:
* space-group type: I4/mmm
* distance to the lowest polymorph of the same formula: 154 meV/atom
* DFT total energy: -17.7 eV per formula unit
* formation energy from raw total energies: 7.2 kJ/mol of atoms

a = 5.112 Å, b = 5.112 Å, c = 6.149 Å
α = 65.44°, β = 65.44°, γ = 90.00°
Fractional coordinates of all 5 atoms:
Au1 0.365 0.365 0.271
Au2 0.635 0.635 0.729
Sn1 0.750 0.250 0.500
Sn2 0.250 0.750 0.500
Se1 0.000 0.000 0.000


Ba2ZrP: optimized geometry, PBE.

Computed properties:
* space-group type: C2/m
* DFT total energy: -19.3 eV per formula unit
* formation energy from the elements: -0.374 eV/atom

a = 10.230 Å, b = 10.230 Å, c = 3.832 Å
α = 79.31°, β = 79.31°, γ = 21.10°
Fractional coordinates of all 4 atoms:
Ba1 0.655 0.655 0.347
Ba2 0.345 0.345 0.653
Zr1 0.500 0.500 0.000
P1 0.000 0.000 0.500


In3Ga6Hg: optimized geometry, PBE.

Computed properties:
* space-group type: C2/m
* DFT total energy: -26.2 eV per formula unit
* formation energy from the elements: 0.049 eV/atom

a = 5.399 Å, b = 6.188 Å, c = 10.647 Å
α = 45.80°, β = 75.31°, γ = 64.13°
Fractional coordinates of all 10 atoms:
In1 0.484 0.775 0.257
In2 0.516 0.225 0.743
In3 0.000 0.000 0.000
Ga1 0.027 0.625 0.832
Ga2 0.484 0.375 0.168
Ga3 0.973 0.375 0.168
Ga4 0.516 0.625 0.832
Ga5 0.731 0.034 0.505
Ga6 0.269 0.966 0.495
Hg1 0.000 0.500 0.500


The lowest DFT total energy belongs to which entry?
In3Ga6Hg


Number 1 is which compound?
Sn2Au2Se